This record from the Alexandria database describes a relaxed Na3VF8 crystal. The functional is PBE with a Hubbard U.

Properties
energy: -4.66 eV/atom

a b c (Å): 5.2619 5.2619 5.2619
angles (deg): 90.00 90.00 90.00
Fractional positions:
1 Na 0.5000 0.5000 0.0000
2 Na 0.5000 0.0000 0.5000
3 Na 0.0000 0.5000 0.5000
4 V 0.0000 0.0000 0.0000
5 F 0.2187 0.2187 0.7813
6 F 0.2187 0.7813 0.2187
7 F 0.7813 0.2187 0.2187
8 F 0.7813 0.7813 0.7813
9 F 0.7813 0.7813 0.2187
10 F 0.7813 0.2187 0.7813
11 F 0.2187 0.7813 0.7813
12 F 0.2187 0.2187 0.2187

---

This record from the Alexandria database describes a relaxed NaV3F crystal. The functional is PBE with a Hubbard U.

Properties
energy above the lowest structure with this stoichiometry: 0 meV per atom

a b c (Å): 4.6620 4.6620 4.6620
angles (deg): 90.00 90.00 90.00
Site moments in Bohr magnetons follow the coordinates.
Fractional positions:
1 Na 0.5000 0.5000 0.5000  -0.01
2 V 0.0000 0.5000 0.0000  2.90
3 V 0.0000 0.0000 0.5000  2.90
4 V 0.5000 0.0000 0.0000  2.90
5 F 0.0000 0.0000 0.0000  0.04

---

Result set for size of the total moment: 0.00, 10.25 μB/f.u., one per record in the order listed.